No. 1
# RbInGe, relaxed, DFT PBE
# Energy relative to the elements in meV per atom: 90.0
# Total energy in eV for the cell shown: -32.2
# Density of states at the Fermi level in states/eV/f.u.: 0.84
# Theoretical density in Mg/m³: 3.9
data_RbInGe
_chemical_formula_sum 'Rb4 In4 Ge4'
_cell_length_a 7.315
_cell_length_b 9.304
_cell_length_c 6.800
_cell_angle_alpha 90.00
_cell_angle_beta 90.00
_cell_angle_gamma 90.00
_symmetry_space_group_name_H-M 'C m c m'
_symmetry_Int_Tables_number 63
_symmetry_space_group_name_Hall '-C 2c 2'
loop_
_atom_site_label
_atom_site_type_symbol
_atom_site_fract_x
_atom_site_fract_y
_atom_site_fract_z
_atom_site_occupancy
Rb1 Rb 0.000 0.126 0.250 1
In1 In 0.000 0.500 0.000 1
Ge1 Ge 0.000 0.286 0.750 1

---

No. 2
# LiHo2ErS4, relaxed, DFT PBE
# Total energy in eV for the cell shown: -47.6
# Density of states at the Fermi level in states/eV/f.u.: 2.45
# Theoretical density in Mg/m³: 6.5
# ΔE_f (raw) in eV/atom: -1.93
data_LiHo2ErS4
_chemical_formula_sum 'Li1 Ho2 Er1 S4'
_cell_length_a 6.675
_cell_length_b 3.851
_cell_length_c 6.677
_cell_angle_alpha 90.00
_cell_angle_beta 109.38
_cell_angle_gamma 90.00
_symmetry_space_group_name_H-M 'P 1 2/m 1'
_symmetry_Int_Tables_number 10
_symmetry_space_group_name_Hall '-P 2y'
loop_
_atom_site_label
_atom_site_type_symbol
_atom_site_fract_x
_atom_site_fract_y
_atom_site_fract_z
_atom_site_occupancy
Li1 Li 0.000 0.000 0.000 1
Ho1 Ho 0.000 0.500 0.500 1
Ho2 Ho 0.500 0.000 0.500 1
Er1 Er 0.500 0.500 0.000 1
S1 S 0.245 0.500 0.244 1
S2 S 0.247 0.000 0.756 1

---

No. 3
# TmZrPd, relaxed, DFT PBE
# Energy relative to the elements in meV per atom: -465.6
# Distance to the lowest polymorph of the same formula in meV per atom: 22.1
# Total energy in eV for the cell shown: -39.2
# Density of states at the Fermi level in states/eV/f.u.: 3.45
# Theoretical density in Mg/m³: 9.3
data_TmZrPd
_chemical_formula_sum 'Tm2 Zr2 Pd2'
_cell_length_a 3.430
_cell_length_b 3.430
_cell_length_c 11.143
_cell_angle_alpha 90.00
_cell_angle_beta 90.00
_cell_angle_gamma 90.00
_symmetry_space_group_name_H-M 'I 4 m m'
_symmetry_Int_Tables_number 107
_symmetry_space_group_name_Hall 'I 4 -2'
loop_
_atom_site_label
_atom_site_type_symbol
_atom_site_fract_x
_atom_site_fract_y
_atom_site_fract_z
_atom_site_occupancy
Tm1 Tm 0.000 0.000 0.000 1
Zr1 Zr 0.000 0.000 0.697 1
Pd1 Pd 0.000 0.000 0.339 1

---

No. 4
# LaMg2Cd4Ag, relaxed, DFT PBE
# Energy relative to the elements in meV per atom: -181.0
# Total energy in eV for the cell shown: -48.2
# Density of states at the Fermi level in states/eV/f.u.: 4.60
# Theoretical density in Mg/m³: 6.5
data_LaMg2Cd4Ag
_chemical_formula_sum 'La3 Mg6 Cd12 Ag3'
_cell_length_a 4.8689
_cell_length_b 4.8689
_cell_length_c 27.6195
_cell_angle_alpha 90.00
_cell_angle_beta 90.00
_cell_angle_gamma 120.00
_symmetry_space_group_name_H-M 'R -3 m'
_symmetry_Int_Tables_number 166
_symmetry_space_group_name_Hall '-R 3 2"'
loop_
_atom_site_label
_atom_site_type_symbol
_atom_site_fract_x
_atom_site_fract_y
_atom_site_fract_z
_atom_site_occupancy
La1 La 0.0000 0.0000 0.0000 1
Mg1 Mg 0.0000 0.0000 0.2452 1
Cd1 Cd 0.0000 0.0000 0.1298 1
Cd2 Cd 0.0000 0.0000 0.3943 1
Ag1 Ag 0.0000 0.0000 0.5000 1

---

No. 5
# CdPd8Pt5, relaxed, DFT PBE
# Energy relative to the elements in meV per atom: 124.8
# Total energy in eV for the cell shown: -141.8
# Density of states at the Fermi level in states/eV/f.u.: 21.99
# Theoretical density in Mg/m³: 13.7
data_CdPd8Pt5
_chemical_formula_sum 'Cd2 Pd16 Pt10'
_cell_length_a 7.621
_cell_length_b 7.621
_cell_length_c 8.102
_cell_angle_alpha 90.00
_cell_angle_beta 90.00
_cell_angle_gamma 90.00
_symmetry_space_group_name_H-M 'I -4'
_symmetry_Int_Tables_number 82
_symmetry_space_group_name_Hall 'I -4'
loop_
_atom_site_label
_atom_site_type_symbol
_atom_site_fract_x
_atom_site_fract_y
_atom_site_fract_z
_atom_site_occupancy
Cd1 Cd 0.000 0.000 0.000 1
Pd1 Pd 0.066 0.833 0.343 1
Pd2 Pd 0.106 0.672 0.000 1
Pt1 Pt 0.000 0.500 0.250 1
Pt2 Pt 0.120 0.704 0.673 1

---

No. 6
# PmDyAgBi, relaxed, DFT PBE
# Energy relative to the elements in meV per atom: -445.1
# Total energy in eV for the cell shown: -71.5
# Density of states at the Fermi level in states/eV/f.u.: 4.28
# Theoretical density in Mg/m³: 9.5
data_PmDyAgBi
_chemical_formula_sum 'Pm4 Dy4 Ag4 Bi4'
_cell_length_a 7.575
_cell_length_b 7.575
_cell_length_c 7.575
_cell_angle_alpha 90.00
_cell_angle_beta 90.00
_cell_angle_gamma 90.00
_symmetry_space_group_name_H-M 'F -4 3 m'
_symmetry_Int_Tables_number 216
_symmetry_space_group_name_Hall 'F -4 2 3'
loop_
_atom_site_label
_atom_site_type_symbol
_atom_site_fract_x
_atom_site_fract_y
_atom_site_fract_z
_atom_site_occupancy
Pm1 Pm 0.000 0.000 0.000 1
Dy1 Dy 0.000 0.000 0.500 1
Ag1 Ag 0.250 0.250 0.250 1
Bi1 Bi 0.250 0.250 0.750 1